## w
Ho5Er2Tm3 (PBE-GGA, optimized geometry); mass density = 8466 kg/m3; volume = 32.677 Å³ per atom; SG = Ibam (72)
1.0
6.172 0.000 0.000
3.086 10.104 -2.855
3.086 -0.072 10.500
Ho Er Tm
10 4 6
Cartesian
4.629 5.016 3.822
7.715 5.016 3.822
7.715 7.532 5.739
1.543 2.500 1.905
4.629 2.500 1.905
10.801 7.532 5.739
3.086 5.613 0.965
9.258 4.419 6.680
6.172 2.420 5.156
6.172 7.613 2.488
3.086 7.527 -1.511
9.258 2.506 9.155
6.172 0.541 7.658
6.172 9.491 -0.013
1.543 0.000 0.000
4.629 0.000 0.000
6.172 4.085 8.371
6.172 5.947 -0.727
9.258 9.155 1.718
3.086 0.878 5.927

## x
Ho5Er2Tm3 (PBE-GGA, optimized geometry); mass density = 8750 kg/m3; volume = 31.616 Å³ per atom; SG = C2/c (15)
1.0
8.330 1.666 -3.927
0.305 8.485 -3.991
-1.786 -2.033 10.619
Ho Er Tm
10 4 6
Cartesian
2.381 4.835 -2.592
4.468 3.283 5.293
-0.566 5.465 2.574
3.467 2.080 2.660
7.415 2.652 0.127
3.382 6.037 0.041
6.050 5.125 2.243
0.799 2.992 0.458
1.982 0.355 5.968
4.867 7.762 -3.266
5.169 -0.081 4.847
1.680 8.199 -2.146
2.802 5.488 3.203
4.047 2.629 -0.502
0.474 6.715 5.312
6.374 1.402 -2.610
5.786 4.664 -2.161
1.063 3.454 4.862
-0.098 6.118 -0.589
6.947 1.999 3.290

Of them, the most stable is x and the least stable is w.

## w
Ho4ErTm6 (PBE-GGA, optimized geometry); mass density = 9109 kg/m3; volume = 30.504 Å³ per atom; SG = Cmcm (63)
1.0
5.550 0.000 0.000
-2.775 4.777 0.000
0.000 0.000 25.310
Ho Er Tm
8 2 12
Cartesian
2.775 3.199 13.719
0.000 4.728 3.077
0.000 1.578 11.591
2.775 0.049 22.234
2.775 3.199 24.246
0.000 1.578 1.064
2.775 0.049 15.732
0.000 4.728 9.578
2.775 3.154 6.328
0.000 1.624 18.983
2.775 0.000 0.000
2.775 0.000 12.655
0.000 1.553 8.052
2.775 3.224 17.259
2.775 3.224 20.707
0.000 1.553 4.604
2.775 3.145 10.017
0.000 1.632 15.293
0.000 1.632 22.672
2.775 3.145 2.638
0.000 4.743 6.328
2.775 0.034 18.983

## x
Ho4ErTm6 (PBE-GGA, optimized geometry); mass density = 8396 kg/m3; volume = 33.095 Å³ per atom; SG = I-42m (121)
1.0
-4.763 -5.587 1.491
5.346 -3.518 3.895
-2.200 7.618 2.696
Ho Er Tm
4 1 6
Cartesian
1.746 3.277 5.351
0.189 -7.102 5.318
-4.971 1.902 3.754
-0.198 -1.052 1.740
0.292 -4.552 2.693
-2.842 -3.927 4.090
2.026 -2.931 5.247
-1.069 -0.251 4.710
2.673 -1.759 1.947
-1.349 4.134 2.117
-2.381 -2.793 0.745

Of them, the most stable is w and the least stable is x.

## w
Ho2Er12Tm5 (PBE-GGA, optimized geometry); mass density = 9106 kg/m3; volume = 30.536 Å³ per atom; SG = P-1 (2)
1.0
6.125 0.576 0.155
-2.706 9.549 -6.579
0.325 -2.904 11.621
Ho Er Tm
2 12 5
Cartesian
2.000 9.369 -5.990
1.743 -2.149 11.187
0.093 1.023 2.940
-0.787 7.896 -4.962
2.496 7.199 -3.598
-0.150 3.715 0.361
2.761 5.186 -0.888
0.546 7.187 0.833
3.197 0.033 4.364
3.894 3.505 4.836
0.982 2.034 6.085
4.531 -0.676 10.159
1.248 0.021 8.794
3.651 6.197 2.257
0.687 4.517 3.458
-0.429 5.948 -2.310
0.163 -1.452 5.810
4.173 1.273 7.507
3.057 2.703 1.738

## x
Ho2Er12Tm5 (PBE-GGA, optimized geometry); mass density = 8951 kg/m3; volume = 31.064 Å³ per atom; SG = C2/m (12)
1.0
9.062 0.000 0.000
-4.531 7.692 1.132
0.000 -1.350 8.268
Ho Er Tm
2 12 5
Cartesian
6.154 0.000 0.000
2.908 0.000 0.000
4.531 6.106 1.869
-2.879 4.273 7.030
2.879 4.273 7.030
-1.753 5.287 3.655
1.753 5.287 3.655
0.000 5.907 6.510
4.531 0.436 2.890
6.284 1.056 5.745
2.779 1.056 5.745
7.410 2.070 2.370
1.652 2.070 2.370
0.000 0.236 7.532
0.000 2.805 5.282
0.000 3.318 8.875
0.000 -0.675 4.134
4.531 3.025 0.525
4.531 3.538 4.118

Of them, the most stable is w and the least stable is x.

## w
HoEr2Tm5 (PBE-GGA, optimized geometry); mass density = 9074 kg/m3; volume = 30.747 Å³ per atom; SG = P-1 (2)
1.0
11.143 -0.163 -1.864
-5.630 7.733 1.194
-7.458 0.312 7.025
Ho Er Tm
2 4 10
Cartesian
0.277 4.371 4.261
-2.223 3.511 2.093
2.257 4.826 1.336
5.621 4.601 -0.030
-4.202 3.056 5.019
-7.566 3.281 6.385
-11.454 8.008 7.897
0.389 7.320 3.048
-2.740 6.358 3.774
-0.962 6.184 0.380
3.920 1.897 1.350
-5.866 5.985 5.004
0.794 1.524 2.580
-0.984 1.697 5.975
9.508 -0.126 -1.543
-2.334 0.562 3.306

## x
HoEr2Tm5 (PBE-GGA, optimized geometry); mass density = 9300 kg/m3; volume = 30.001 Å³ per atom; SG = I4/mmm (139)
1.0
6.975 -0.030 -0.042
-3.460 6.056 0.042
-3.460 -2.021 5.709
Ho Er Tm
1 2 5
Cartesian
-5.381 3.138 4.473
-0.164 0.096 4.431
-0.164 4.134 1.597
-1.894 3.124 4.453
-3.652 4.150 1.618
-3.652 0.110 4.453
1.565 1.106 1.576
-1.923 1.121 1.598

Of them, the most stable is x and the least stable is w.

## w
Ho4Er3Tm (PBE-GGA, optimized geometry); mass density = 8947 kg/m3; volume = 30.866 Å³ per atom; SG = Pmn2_1 (31)
1.0
6.206 0.000 0.000
0.000 7.179 0.000
0.000 0.000 11.085
Ho Er Tm
8 6 2
Cartesian
0.918 6.279 0.000
4.019 0.903 0.000
6.090 0.903 2.768
2.987 6.276 2.774
0.915 6.276 5.543
4.021 0.900 5.543
2.987 6.276 8.311
6.090 0.903 8.317
4.019 4.483 0.000
6.088 4.481 2.771
2.985 2.698 2.772
0.916 2.695 5.543
2.985 2.698 8.313
6.088 4.481 8.315
0.917 2.698 0.000
4.020 4.481 5.543

## x
Ho4Er3Tm (PBE-GGA, optimized geometry); mass density = 9070 kg/m3; volume = 30.446 Å³ per atom; SG = C2/m (12)
1.0
6.093 0.008 0.130
-0.023 3.371 1.020
2.760 5.145 13.474
Tm Ho Er
1 4 3
Cartesian
3.047 0.004 0.065
5.001 2.557 3.837
3.830 5.967 10.787
2.886 5.104 7.531
5.945 3.420 7.093
-0.012 1.685 0.510
6.887 4.285 10.343
1.943 4.239 4.281

Of them, the most stable is w and the least stable is x.

## w
HoEr5Tm2 (PBE-GGA, optimized geometry); mass density = 8865 kg/m3; volume = 31.355 Å³ per atom; SG = C2/m (12)
1.0
5.534 -0.001 -0.027
-2.769 8.058 0.014
0.055 -0.012 11.251
Ho Er Tm
2 10 4
Cartesian
2.807 4.385 8.422
0.013 3.660 2.816
2.815 7.298 9.986
2.800 7.321 6.876
0.021 6.634 4.742
0.003 6.643 0.898
2.780 1.699 2.798
0.040 6.346 8.440
2.799 1.411 6.496
2.817 1.402 10.340
0.005 0.747 1.252
0.020 0.724 4.362
2.789 4.609 4.719
2.771 4.609 0.883
0.031 3.436 6.519
0.050 3.436 10.355

## x
HoEr5Tm2 (PBE-GGA, optimized geometry); mass density = 9222 kg/m3; volume = 30.142 Å³ per atom; SG = Pbam (55)
1.0
-1.356 -2.992 -3.687
6.559 -0.001 -2.412
2.921 -11.119 7.949
Ho Er Tm
2 10 4
Cartesian
1.460 -5.559 3.975
3.279 -0.001 -1.206
0.000 0.000 0.000
4.740 -5.560 2.769
5.468 -8.338 4.756
4.011 -2.782 0.782
0.731 -2.778 1.986
8.748 -8.342 3.552
3.516 -11.224 4.509
4.607 -2.888 -2.658
2.058 -5.665 0.534
6.065 -8.447 1.317
2.786 -8.447 2.524
5.337 -5.665 -0.672
1.328 -2.888 -1.452
6.795 -11.224 3.303

Of them, the most stable is x and the least stable is w.